A plane-wave DFT calculation with PBE was carried out for a relaxed structure of Pm3CuTe4.

a b c (Å): 10.0927 8.7314 6.3193
angles (deg): 90.00 90.00 90.00
Last column: nearest neighbours and their distance in Å.
Positions (direct):
1 Pm 0.0000 0.2062 0.0000  5 Te 3.03-3.21
2 Pm 0.2441 0.6573 0.9998  5 Te 3.05-3.21
3 Pm 0.2559 0.3427 0.4998  5 Te 3.05-3.21
4 Pm 0.5000 0.7938 0.5000  5 Te 3.03-3.21
5 Pm 0.7441 0.3427 0.4998  5 Te 3.05-3.21
6 Pm 0.7559 0.6573 0.9998  5 Te 3.05-3.21
7 Cu 0.0000 0.8566 0.3525  4 Te 2.53-2.72
8 Cu 0.5000 0.1434 0.8525  4 Te 2.53-2.72
9 Te 0.0000 0.1494 0.4974  1 Cu 2.72
10 Te 0.0000 0.8613 0.9526  1 Cu 2.53
11 Te 0.2045 0.6917 0.4979  1 Cu 2.68
12 Te 0.2955 0.3083 0.9979  1 Cu 2.68
13 Te 0.5000 0.1387 0.4526  1 Cu 2.53
14 Te 0.5000 0.8506 0.9974  1 Cu 2.72
15 Te 0.7045 0.3083 0.9979  1 Cu 2.68
16 Te 0.7955 0.6917 0.4979  1 Cu 2.68

Calculated values
E_tot	-77.6	eV for the cell shown
DOS at the Fermi energy	0.676	states/eV per atom
ΔE_f (raw)	-94.88	kJ/mol of atoms